An optimized crystal structure of MnOs2Pt, computed with GGA-PBE.

Output
VASP energy: -0.660 Ry/atom
calculated formation energy: 439 meV/atom

Cell lengths 4.3430, 4.3430, 4.3430 Å; angles 60.00, 60.00, 60.00 degrees
Closest atoms and distances in Å follow each position.
Fractional coordinates of all 4 atoms:
Mn 0.0000 0.0000 0.0000  8 Os 2.66
Os 0.2500 0.2500 0.2500  4 Mn 2.66, 4 Pt 2.66
Os 0.7500 0.7500 0.7500  4 Mn 2.66, 4 Pt 2.66
Pt 0.5000 0.5000 0.5000  8 Os 2.66